Arrangement 1

A relaxed structure of TcHgRu. Source: Alexandria via LeMat-Bulk, functional PBE-GGA.

```
data_TcHgRu
_cell_length_a 2.877
_cell_length_b 2.877
_cell_length_c 11.980
_cell_angle_alpha 90.00
_cell_angle_beta 90.00
_cell_angle_gamma 90.00
_space_group_name_H-M_alt 'I 4 m m'
_space_group_IT_number 107
_space_group_name_Hall 'I 4 -2'
loop_
_atom_site_label
_atom_site_fract_x
_atom_site_fract_y
_atom_site_fract_z
Tc1 0.000 0.000 0.000
Hg1 0.000 0.000 0.314
Ru1 0.000 0.000 0.630
```


Arrangement 2

A relaxed structure of TcHgRu. Source: Alexandria via LeMat-Bulk, functional PBE-GGA.

```
data_TcHgRu
_cell_length_a 6.104
_cell_length_b 6.104
_cell_length_c 6.104
_cell_angle_alpha 90.00
_cell_angle_beta 90.00
_cell_angle_gamma 90.00
_space_group_name_H-M_alt 'F -4 3 m'
_space_group_IT_number 216
_space_group_name_Hall 'F -4 2 3'
loop_
_atom_site_label
_atom_site_fract_x
_atom_site_fract_y
_atom_site_fract_z
Tc1 0.000 0.000 0.000
Hg1 0.000 0.000 0.500
Ru1 0.250 0.250 0.750
```


Arrangement 3

A relaxed structure of TcHgRu. Source: Alexandria via LeMat-Bulk, functional PBE-GGA.

```
data_TcHgRu
_cell_length_a 2.874
_cell_length_b 3.745
_cell_length_c 9.164
_cell_angle_alpha 90.00
_cell_angle_beta 90.00
_cell_angle_gamma 90.00
_space_group_name_H-M_alt 'I m m 2'
_space_group_IT_number 44
_space_group_name_Hall 'I 2 -2'
loop_
_atom_site_label
_atom_site_fract_x
_atom_site_fract_y
_atom_site_fract_z
Tc1 0.000 0.000 0.000
Hg1 0.000 0.000 0.689
Ru1 0.000 0.000 0.376
```


Of them, arrangement 1 has the highest stability.


Arrangement 1

A relaxed structure of Th2HgRu. Source: Alexandria via LeMat-Bulk, functional PBE-GGA.

```
data_Th2HgRu
_cell_length_a 3.524
_cell_length_b 3.524
_cell_length_c 8.183
_cell_angle_alpha 90.00
_cell_angle_beta 90.00
_cell_angle_gamma 90.00
_space_group_name_H-M_alt 'P 4/m m m'
_space_group_IT_number 123
_space_group_name_Hall '-P 4 2'
loop_
_atom_site_label
_atom_site_fract_x
_atom_site_fract_y
_atom_site_fract_z
Th1 0.000 0.000 0.212
Hg1 0.500 0.500 0.500
Ru1 0.500 0.500 0.000
```


Arrangement 2

A relaxed structure of Th2HgRu. Source: Alexandria via LeMat-Bulk, functional PBE-GGA.

```
data_Th2HgRu
_cell_length_a 4.0753
_cell_length_b 4.0753
_cell_length_c 23.7418
_cell_angle_alpha 90.00
_cell_angle_beta 90.00
_cell_angle_gamma 120.00
_space_group_name_H-M_alt 'R -3 m'
_space_group_IT_number 166
_space_group_name_Hall '-R 3 2"'
loop_
_atom_site_label
_atom_site_fract_x
_atom_site_fract_y
_atom_site_fract_z
Th1 0.0000 0.0000 0.2324
Hg1 0.0000 0.0000 0.0000
Ru1 0.0000 0.0000 0.5000
```


Arrangement 3

A relaxed structure of Th2HgRu. Source: Alexandria via LeMat-Bulk, functional PBE-GGA.

```
data_Th2HgRu
_cell_length_a 4.1311
_cell_length_b 4.1311
_cell_length_c 23.2902
_cell_angle_alpha 90.00
_cell_angle_beta 90.00
_cell_angle_gamma 120.00
_space_group_name_H-M_alt 'R 3 m'
_space_group_IT_number 160
_space_group_name_Hall 'R 3 -2"'
loop_
_atom_site_label
_atom_site_fract_x
_atom_site_fract_y
_atom_site_fract_z
Th1 0.0000 0.0000 0.0000
Th2 0.0000 0.0000 0.2030
Hg1 0.0000 0.0000 0.4337
Ru1 0.0000 0.0000 0.6013
```


Arrangement 4

A relaxed structure of Th2HgRu. Source: Alexandria via LeMat-Bulk, functional PBE-GGA.

```
data_Th2HgRu
_cell_length_a 4.1230
_cell_length_b 4.1230
_cell_length_c 28.5551
_cell_angle_alpha 90.00
_cell_angle_beta 90.00
_cell_angle_gamma 120.00
_space_group_name_H-M_alt 'R -3 m'
_space_group_IT_number 166
_space_group_name_Hall '-R 3 2"'
loop_
_atom_site_label
_atom_site_fract_x
_atom_site_fract_y
_atom_site_fract_z
Th1 0.0000 0.0000 0.1151
Hg1 0.0000 0.0000 0.0000
Ru1 0.0000 0.0000 0.5000
```


Of them, arrangement 2 has the highest stability.


Arrangement 1

A relaxed structure of Ti3HgRu. Source: Alexandria via LeMat-Bulk, functional PBE-GGA.

```
data_Ti3HgRu
_cell_length_a 4.714
_cell_length_b 4.714
_cell_length_c 4.714
_cell_angle_alpha 90.00
_cell_angle_beta 90.00
_cell_angle_gamma 90.00
_space_group_name_H-M_alt 'P m -3 m'
_space_group_IT_number 221
_space_group_name_Hall '-P 4 2 3'
loop_
_atom_site_label
_atom_site_fract_x
_atom_site_fract_y
_atom_site_fract_z
Ti1 0.000 0.000 0.500
Hg1 0.500 0.500 0.500
Ru1 0.000 0.000 0.000
```


Arrangement 2

A relaxed structure of Ti3HgRu. Source: Alexandria via LeMat-Bulk, functional PBE-GGA.

```
data_Ti3HgRu
_cell_length_a 4.863
_cell_length_b 4.863
_cell_length_c 4.863
_cell_angle_alpha 90.00
_cell_angle_beta 90.00
_cell_angle_gamma 90.00
_space_group_name_H-M_alt 'P m -3 m'
_space_group_IT_number 221
_space_group_name_Hall '-P 4 2 3'
loop_
_atom_site_label
_atom_site_fract_x
_atom_site_fract_y
_atom_site_fract_z
Ti1 0.000 0.000 0.500
Hg1 0.000 0.000 0.000
Ru1 0.500 0.500 0.500
```


Of them, arrangement 1 has the highest stability.